1.
A relaxed RbYPbO2 crystal, computed with GGA-PBE. Values from VASP.

```
&SYSTEM
  ibrav = 0, nat = 5, ntyp = 4
/
ATOMIC_SPECIES
Y 88.91 Y.upf
Pb 207.20 Pb.upf
Rb 85.47 Rb.upf
O 16.00 O.upf
CELL_PARAMETERS angstrom
-3.939 2.453 1.104
-2.832 -4.969 0.935
1.343 0.096 4.576
ATOMIC_POSITIONS angstrom
Y -2.714 -1.210 3.308
Pb -1.416 -2.484 0.468
Rb 0.000 0.000 0.000
O -1.970 1.226 0.552
O 0.671 0.048 2.288
```

## Properties
calculated density	5.21	g cm⁻³
total moment	0.335	μB per atom
density of states at the Fermi level	0.88	states/eV per atom
total energy	-0.140	Ha/atom
crystal system	tetragonal

=====

2.
A relaxed RbY4Pb3O12 crystal, computed with GGA-PBE. Values from VASP.

```
&SYSTEM
  ibrav = 0, nat = 20, ntyp = 4
/
ATOMIC_SPECIES
O 16.00 O.upf
Rb 85.47 Rb.upf
Y 88.91 Y.upf
Pb 207.20 Pb.upf
CELL_PARAMETERS angstrom
7.415 0.000 0.000
-2.472 6.991 0.000
-2.472 -3.496 6.055
ATOMIC_POSITIONS angstrom
O 3.144 1.114 4.130
O -0.672 2.382 1.924
O 2.470 1.586 1.101
O -2.474 3.656 4.130
O 2.474 -1.749 5.231
O -1.799 -0.638 4.954
O 4.945 -0.160 1.924
O 4.271 4.134 1.101
O 0.002 1.909 4.954
O -0.002 5.245 0.824
O 1.799 3.971 3.030
O 0.672 -0.475 3.025
Rb 0.000 0.000 0.000
Y 1.236 1.748 3.027
Y -1.236 3.496 0.000
Y 3.708 0.000 0.000
Y -1.236 -1.748 3.027
Pb 2.472 -1.748 3.027
Pb -2.472 1.748 3.027
Pb 2.472 3.496 0.000
```

## Properties
calculated density	6.64	g cm⁻³
total moment	0.000	μB per atom
density of states at the Fermi level	0.40	states/eV per atom
total energy	-0.259	Ha/atom
crystal system	cubic

=====

3.
A relaxed RbYPbO3 crystal, computed with GGA-PBE. Values from VASP.

```
&SYSTEM
  ibrav = 0, nat = 12, ntyp = 4
/
ATOMIC_SPECIES
Y 88.91 Y.upf
Rb 85.47 Rb.upf
O 16.00 O.upf
Pb 207.20 Pb.upf
CELL_PARAMETERS angstrom
3.541 0.000 0.000
0.000 9.844 1.026
0.000 -1.249 7.018
ATOMIC_POSITIONS angstrom
Y 0.885 6.168 1.279
Y 2.655 2.428 6.765
Rb 2.655 5.943 5.010
Rb 0.885 2.653 3.034
O 0.885 7.494 3.243
O 0.885 2.265 0.260
O 2.655 1.101 4.801
O 2.655 6.330 7.784
O 2.655 4.759 1.759
O 0.885 3.837 6.286
Pb 2.655 8.831 2.582
Pb 0.885 -0.235 5.462
```

## Properties
calculated density	5.73	g cm⁻³
total moment	0.000	μB per atom
density of states at the Fermi level	0.00	states/eV per atom
total energy	-0.239	Ha/atom
crystal system	monoclinic

=====

4.
A relaxed Rb2Zn2PbO4 crystal, computed with GGA-PBE. Values from VASP.

```
&SYSTEM
  ibrav = 0, nat = 9, ntyp = 4
/
ATOMIC_SPECIES
O 16.00 O.upf
Pb 207.20 Pb.upf
Zn 65.41 Zn.upf
Rb 85.47 Rb.upf
CELL_PARAMETERS angstrom
3.578 0.000 0.000
-1.789 7.173 0.037
0.000 -2.463 6.477
ATOMIC_POSITIONS angstrom
O 0.000 2.686 0.922
O 1.789 -1.362 5.034
O 0.000 6.072 1.480
O 1.789 2.024 5.592
Pb 0.000 0.000 0.000
Zn 0.000 4.640 0.148
Zn 1.789 0.070 6.365
Rb 1.789 4.252 3.003
Rb 0.000 0.458 3.511
```

## Properties
calculated density	5.71	g cm⁻³
total moment	0.000	μB per atom
density of states at the Fermi level	0.00	states/eV per atom
total energy	-0.159	Ha/atom
crystal system	monoclinic

=====

5.
A relaxed Rb2ZnPbO crystal, computed with GGA-PBE. Values from VASP.

```
&SYSTEM
  ibrav = 0, nat = 5, ntyp = 4
/
ATOMIC_SPECIES
Rb 85.47 Rb.upf
Zn 65.41 Zn.upf
Pb 207.20 Pb.upf
O 16.00 O.upf
CELL_PARAMETERS angstrom
6.785 0.000 0.000
0.000 4.985 0.000
0.000 0.000 6.785
ATOMIC_POSITIONS angstrom
Rb 0.000 0.000 3.393
Rb 3.393 0.000 0.000
Zn 0.000 2.493 0.000
Pb 0.000 0.000 0.000
O 3.393 2.493 3.393
```

## Properties
calculated density	3.32	g cm⁻³
total moment	0.000	μB per atom
density of states at the Fermi level	3.76	states/eV per atom
total energy	-0.071	Ha/atom
crystal system	tetragonal

=====

6.
A relaxed Rb2Zn2PbO6 crystal, computed with GGA-PBE. Values from VASP.

```
&SYSTEM
  ibrav = 0, nat = 11, ntyp = 4
/
ATOMIC_SPECIES
Zn 65.41 Zn.upf
O 16.00 O.upf
Pb 207.20 Pb.upf
Rb 85.47 Rb.upf
CELL_PARAMETERS angstrom
-2.378 -2.402 4.444
0.989 -3.003 -4.602
6.014 -1.615 2.345
ATOMIC_POSITIONS angstrom
Zn 4.758 -4.217 3.774
Zn -0.133 -2.803 -1.587
O 1.634 -2.226 -2.618
O 2.990 -4.794 4.805
O 4.199 -2.183 3.503
O 4.118 -4.878 1.856
O 0.506 -2.142 0.331
O 0.425 -4.836 -1.316
Pb 0.000 0.000 0.000
Rb 1.751 -3.410 2.601
Rb 2.874 -3.610 -0.414
```

## Properties
calculated density	5.59	g cm⁻³
total moment	0.185	μB per atom
density of states at the Fermi level	0.71	states/eV per atom
total energy	-0.163	Ha/atom
crystal system	trigonal

=====

7.
A relaxed RbZnPbO3 crystal, computed with GGA-PBE. Values from VASP.

```
&SYSTEM
  ibrav = 0, nat = 12, ntyp = 4
/
ATOMIC_SPECIES
O 16.00 O.upf
Pb 207.20 Pb.upf
Zn 65.41 Zn.upf
Rb 85.47 Rb.upf
CELL_PARAMETERS angstrom
-2.443 1.561 2.095
-2.413 -7.328 2.648
5.969 1.865 5.571
ATOMIC_POSITIONS angstrom
O 0.307 -4.912 5.546
O 3.984 0.704 5.648
O -2.134 -1.837 3.461
O 3.247 -2.066 6.853
O -2.871 -4.606 4.666
O 0.807 1.010 4.768
Pb 2.397 0.130 7.278
Pb -1.283 -4.033 3.036
Zn -1.585 -4.636 6.188
Zn 2.698 0.734 4.126
Rb 0.238 -0.566 2.227
Rb 0.875 -3.336 8.087
```

## Properties
calculated density	5.63	g cm⁻³
total moment	0.000	μB per atom
density of states at the Fermi level	0.44	states/eV per atom
total energy	-0.170	Ha/atom
crystal system	monoclinic

=====

8.
A relaxed Rb3Zn2PbO6 crystal, computed with GGA-PBE. Values from VASP.

```
&SYSTEM
  ibrav = 0, nat = 12, ntyp = 4
/
ATOMIC_SPECIES
O 16.00 O.upf
Rb 85.47 Rb.upf
Zn 65.41 Zn.upf
Pb 207.20 Pb.upf
CELL_PARAMETERS angstrom
6.173 0.000 0.000
-3.087 5.346 0.000
0.000 0.000 7.487
ATOMIC_POSITIONS angstrom
O 0.000 1.703 2.307
O 1.612 4.495 2.307
O -1.612 4.495 2.307
O 1.475 0.851 5.180
O 3.087 3.643 5.180
O 4.699 0.851 5.180
Rb 0.000 0.000 0.000
Rb 0.000 3.564 5.604
Rb 3.087 1.782 1.882
Zn 0.000 3.564 2.434
Zn 3.087 1.782 5.052
Pb 0.000 0.000 3.743
```

## Properties
calculated density	4.64	g cm⁻³
total moment	0.086	μB per atom
density of states at the Fermi level	0.61	states/eV per atom
total energy	-0.160	Ha/atom
crystal system	trigonal

=====

9.
A relaxed RePb2O crystal, computed with GGA-PBE. Values from VASP.

```
&SYSTEM
  ibrav = 0, nat = 8, ntyp = 3
/
ATOMIC_SPECIES
O 16.00 O.upf
Pb 207.20 Pb.upf
Re 186.21 Re.upf
CELL_PARAMETERS angstrom
-1.264 -6.400 1.281
6.089 -0.686 2.580
1.089 -2.607 5.301
ATOMIC_POSITIONS angstrom
O 2.412 -3.543 1.931
O 4.795 -3.418 4.906
Pb 2.928 -4.647 5.552
Pb 4.736 -8.122 7.227
Pb 0.306 -4.420 2.385
Pb 3.857 -2.198 3.162
Re 0.000 0.000 0.000
Re 1.119 -6.275 4.257
```

## Properties
calculated density	12.39	g cm⁻³
total moment	0.242	μB per atom
density of states at the Fermi level	0.61	states/eV per atom
total energy	-0.203	Ha/atom
crystal system	tetragonal

=====

10.
A relaxed Re2Pb2O7 crystal, computed with GGA-PBE. Values from VASP.

```
&SYSTEM
  ibrav = 0, nat = 11, ntyp = 3
/
ATOMIC_SPECIES
O 16.00 O.upf
Re 186.21 Re.upf
Pb 207.20 Pb.upf
CELL_PARAMETERS angstrom
5.811 -0.136 -0.155
-0.522 6.160 -1.078
-0.522 -1.888 5.962
ATOMIC_POSITIONS angstrom
O 1.202 2.351 2.688
O 3.685 4.447 2.706
O 2.906 -0.068 -0.078
O 3.565 1.785 2.040
O 1.082 2.045 -0.040
O 1.082 -0.311 2.021
O 3.685 2.091 4.768
Re 2.035 1.022 1.169
Re 2.733 3.114 3.559
Pb -0.522 0.614 3.773
Pb -0.522 3.658 1.110
```

## Properties
offset from the most stable computed form	0.19	eV per formula unit
calculated density	7.45	g cm⁻³
total moment	0.000	μB per atom
density of states at the Fermi level	0.05	states/eV per atom
crystal system	monoclinic

=====

11.
A relaxed RePb2O4 crystal, computed with GGA-PBE. Values from VASP.

```
&SYSTEM
  ibrav = 0, nat = 14, ntyp = 3
/
ATOMIC_SPECIES
O 16.00 O.upf
Pb 207.20 Pb.upf
Re 186.21 Re.upf
CELL_PARAMETERS angstrom
-1.883 -0.154 -6.280
-1.980 -5.398 0.726
-6.127 2.647 2.977
ATOMIC_POSITIONS angstrom
O -3.581 -3.161 1.430
O -7.882 -1.457 2.366
O -4.589 -4.495 -1.592
O -6.409 0.256 -4.007
O -6.227 -0.661 -0.682
O -3.763 -2.243 -1.895
O -2.108 -1.447 -4.943
O -5.401 1.591 -0.985
Pb -6.520 0.980 1.073
Pb -6.461 -2.595 -2.217
Pb -3.470 -3.885 -3.649
Pb -3.528 -0.310 -0.360
Re -6.590 0.565 -2.204
Re -3.400 -3.470 -0.373
```

## Properties
calculated density	8.05	g cm⁻³
total moment	0.116	μB per atom
density of states at the Fermi level	0.34	states/eV per atom
total energy	-0.244	Ha/atom
crystal system	monoclinic

=====

12.
A relaxed Re2PbO6 crystal, computed with GGA-PBE. Values from VASP.

```
&SYSTEM
  ibrav = 0, nat = 27, ntyp = 3
/
ATOMIC_SPECIES
O 16.00 O.upf
Re 186.21 Re.upf
Pb 207.20 Pb.upf
CELL_PARAMETERS angstrom
7.199 0.000 0.000
-0.626 7.172 0.000
-0.626 -0.683 7.139
ATOMIC_POSITIONS angstrom
O -0.626 1.675 4.996
O 4.066 4.436 1.224
O 0.334 0.365 2.697
O 1.723 -0.478 4.996
O 4.850 2.153 0.000
O 1.881 2.053 5.915
O 3.336 5.925 6.519
O 5.613 3.838 6.519
O 5.613 6.124 4.442
O 1.881 5.692 2.607
O -0.626 4.814 2.143
O 2.611 0.564 0.620
O 1.723 5.019 0.000
O 4.066 0.796 4.533
O 0.334 2.650 0.620
O 0.440 4.120 4.533
O 5.507 2.369 2.607
O 4.850 -0.205 2.143
Re 0.256 3.007 6.049
Re 5.691 3.482 1.090
Re 2.973 0.516 6.049
Re 2.973 5.972 1.090
Re 5.691 0.754 3.570
Re 0.256 5.735 3.570
Pb 0.000 0.000 0.000
Pb 1.890 2.063 2.269
Pb 4.057 4.426 4.870
```

## Properties
calculated density	9.13	g cm⁻³
total moment	0.010	μB per atom
density of states at the Fermi level	0.87	states/eV per atom
total energy	-0.292	Ha/atom
crystal system	trigonal